Compound: Cr2IrAu
Source: the Alexandria database
Functional: PBE
Structure: relaxed

Calculated values
E above lowest polymorph: 0.024 eV/atom
SG: I-4m2
DFT total energy: -30.84 eV per cell
size of the total moment: 0.73 μB per formula unit

a = 4.772 Å, b = 4.772 Å, c = 4.772 Å
α = 132.32°, β = 132.32°, γ = 69.72°
Positions (direct):
Cr: 0.000 0.000 0.000
Cr: 0.750 0.250 0.500
Ir: 0.250 0.750 0.500
Au: 0.500 0.500 0.000